# 1
This record from Alexandria via LeMat-Bulk describes an optimized crystal structure of Rb2BeCrBr6. The functional is PBE.

Structure (POSCAR):
```
Rb2BeCrBr6
1.0
7.250 0.000 0.000
0.000 7.250 0.000
3.625 3.625 5.555
Cr Br Rb Be
1 6 2 1
Direct
0.000 0.000 0.000 Cr
0.227 0.227 0.545 Br
0.773 0.773 0.455 Br
0.269 0.269 0.000 Br
0.731 0.731 0.000 Br
0.731 0.269 0.000 Br
0.269 0.731 0.000 Br
0.750 0.250 0.500 Rb
0.250 0.750 0.500 Rb
0.500 0.500 0.000 Be
```

Values from the calculation:
E_form (uncorrected): -1.043 eV/atom
D(E_F): 0.116 states/eV/atom

=====

# 2
This record from Alexandria via LeMat-Bulk describes an optimized crystal structure of BeCrS2Br. The functional is PBE.

Structure (POSCAR):
```
BeCrS2Br
1.0
4.033 0.000 0.000
0.000 6.837 0.000
0.000 0.000 4.033
Cr S Br Be
1 2 1 1
Direct
0.000 0.500 0.000 Cr
0.000 0.000 0.500 S
0.500 0.000 0.000 S
0.500 0.500 0.500 Br
0.000 0.000 0.000 Be
```

Values from the calculation:
E_form (uncorrected): 0.202 eV/atom
D(E_F): 0.558 states/eV/atom

=====

# 3
This record from Alexandria via LeMat-Bulk describes an optimized crystal structure of Be2CrSbBr. The functional is PBE.

Structure (POSCAR):
```
Be2CrSbBr
1.0
-2.205 -3.587 -1.500
3.466 -2.902 1.845
-2.247 -0.232 3.857
Sb Be Br Cr
1 2 1 1
Direct
0.500 0.500 0.500 Sb
0.000 0.000 0.500 Be
0.500 0.000 0.000 Be
0.000 0.000 0.000 Br
0.000 0.500 0.000 Cr
```

Values from the calculation:
E_form (uncorrected): 1.115 eV/atom
D(E_F): 0.495 states/eV/atom

=====

# 4
This record from Alexandria via LeMat-Bulk describes an optimized crystal structure of BeCrSeBr2. The functional is PBE.

Structure (POSCAR):
```
BeCrSeBr2
1.0
5.105 0.000 0.000
0.000 5.105 0.000
0.000 0.000 4.835
Cr Se Br Be
1 1 2 1
Direct
0.000 0.000 0.000 Cr
0.000 0.000 0.500 Se
0.000 0.500 0.000 Br
0.500 0.000 0.000 Br
0.500 0.500 0.500 Be
```

Values from the calculation:
Polymorph energy (0 for the lowest one): 233 meV per atom
E_form (uncorrected): 0.376 eV/atom
D(E_F): 0.700 states/eV/atom